(1)
First-principles (PBE) data for KCaGa2Ir after structural relaxation, as listed in Alexandria via LeMat-Bulk.

Calculated values
Uncorrected energy = -3.900 eV per atom
DFT formation energy = -1.5 eV/f.u.

Lattice parameters (Å, degrees): 4.932 4.932 5.458 90.00 90.00 90.00
Space group P4/mmm (No. 123)
Unique sites:
K 0.000 0.000 0.000 [1 per cell]
Ca 0.500 0.500 0.000 [1 per cell]
Ga 0.000 0.500 0.500 [2 per cell]
Ir 0.500 0.500 0.500 [1 per cell]

(2)
First-principles (PBE) data for CaLaGa2Ir2 after structural relaxation, as listed in Alexandria via LeMat-Bulk.

Calculated values
Uncorrected energy = -5.776 eV per atom
DFT formation energy = -3.9 eV/f.u.

Lattice parameters (Å, degrees): 4.3508 4.3508 7.9159 90.00 90.00 120.00
Space group P-3m1 (No. 164)
Unique sites:
Ca 0.0000 0.0000 0.0000 [1 per cell]
La 0.0000 0.0000 0.5000 [1 per cell]
Ga 0.3333 0.6667 0.7646 [2 per cell]
Ir 0.3333 0.6667 0.2533 [2 per cell]

(3)
First-principles (PBE) data for CaMgGa2Ir after structural relaxation, as listed in Alexandria via LeMat-Bulk.

Calculated values
Uncorrected energy = -4.037 eV per atom
DFT formation energy = -1.7 eV/f.u.

Lattice parameters (Å, degrees): 4.831 4.831 4.957 90.00 90.00 90.00
Space group P4/mmm (No. 123)
Unique sites:
Ca 0.000 0.000 0.000 [1 per cell]
Mg 0.500 0.500 0.000 [1 per cell]
Ga 0.000 0.500 0.500 [2 per cell]
Ir 0.500 0.500 0.500 [1 per cell]

(4)
First-principles (PBE) data for Ca2MgGaIr after structural relaxation, as listed in Alexandria via LeMat-Bulk.

Calculated values
Uncorrected energy = -3.703 eV per atom
DFT formation energy = -1.0 eV/f.u.

Lattice parameters (Å, degrees): 5.527 5.527 4.818 90.00 90.00 90.00
Space group P4/mmm (No. 123)
Unique sites:
Ca 0.000 0.500 0.000 [2 per cell]
Mg 0.000 0.000 0.500 [1 per cell]
Ga 0.500 0.500 0.500 [1 per cell]
Ir 0.500 0.500 0.000 [1 per cell]

(5)
First-principles (PBE) data for Ca2MnGa4Ir3 after structural relaxation, as listed in Alexandria via LeMat-Bulk.

Calculated values
Uncorrected energy = -5.673 eV per atom
DFT formation energy = -4.9 eV/f.u.

Lattice parameters (Å, degrees): 4.072 4.072 11.121 90.00 90.00 90.00
Space group P-4m2 (No. 115)
Unique sites:
Ca 0.000 0.500 0.247 [2 per cell]
Mn 0.000 0.000 0.500 [1 per cell]
Ga 0.000 0.000 0.000 [1 per cell]
Ga 0.000 0.500 0.638 [2 per cell]
Ga 0.500 0.500 0.000 [1 per cell]
Ir 0.000 0.500 0.864 [2 per cell]
Ir 0.500 0.500 0.500 [1 per cell]

(6)
First-principles (PBE) data for Ca2MnGa3Ir4 after structural relaxation, as listed in Alexandria via LeMat-Bulk.

Calculated values
Uncorrected energy = -6.230 eV per atom
DFT formation energy = -4.6 eV/f.u.

Lattice parameters (Å, degrees): 4.191 4.191 10.539 90.00 90.00 90.00
Space group P-4m2 (No. 115)
Unique sites:
Ca 0.000 0.500 0.241 [2 per cell]
Mn 0.000 0.000 0.500 [1 per cell]
Ga 0.000 0.500 0.869 [2 per cell]
Ga 0.500 0.500 0.500 [1 per cell]
Ir 0.000 0.000 0.000 [1 per cell]
Ir 0.000 0.500 0.633 [2 per cell]
Ir 0.500 0.500 0.000 [1 per cell]

(7)
First-principles (PBE) data for CaNdGa2Ir2 after structural relaxation, as listed in Alexandria via LeMat-Bulk.

Calculated values
Uncorrected energy = -5.727 eV per atom
DFT formation energy = -3.8 eV/f.u.

Lattice parameters (Å, degrees): 4.3373 4.3373 7.8355 90.00 90.00 120.00
Space group P-3m1 (No. 164)
Unique sites:
Ca 0.0000 0.0000 0.0000 [1 per cell]
Nd 0.0000 0.0000 0.5000 [1 per cell]
Ga 0.3333 0.6667 0.7565 [2 per cell]
Ir 0.3333 0.6667 0.2581 [2 per cell]

(8)
First-principles (PBE) data for CaNdGaIr after structural relaxation, as listed in Alexandria via LeMat-Bulk.

Calculated values
Uncorrected energy = -5.238 eV per atom
DFT formation energy = -2.3 eV/f.u.
Relative energy among the computed polymorphs = 0 meV per atom

Lattice parameters (Å, degrees): 4.099 4.206 11.420 90.00 90.00 90.00
Space group Amm2 (No. 38)
Unique sites:
Ca 0.000 0.000 0.000 [2 per cell]
Nd 0.500 0.000 0.287 [2 per cell]
Ga 0.500 0.000 0.583 [2 per cell]
Ir 0.000 0.000 0.719 [2 per cell]